[1]
VASP calculation (GGA-PBE) on Tb4Y3Te8 after structural relaxation.

abc: 8.7051 8.7056 8.7056
angles: 90.00 120.00 120.00
Positions (direct):
Tb1 0.5000 0.0000 0.0000
Tb2 0.0000 0.5000 0.0000
Tb3 0.0000 0.0000 0.0000
Tb4 0.0000 0.0000 0.5000
Y1 0.5000 0.5000 0.0000
Y2 0.5000 0.0000 0.5000
Y3 0.5000 0.5000 0.5000
Te1 0.5118 0.2561 0.2561
Te2 0.0000 0.7441 0.2559
Te3 0.0004 0.2561 0.2561
Te4 0.5000 0.7498 0.2502
Te5 0.5000 0.2502 0.7498
Te6 0.9996 0.7439 0.7439
Te7 0.0000 0.2559 0.7441
Te8 0.4882 0.7439 0.7439

Calculated values
Calculated volume in Å³ per atom: 31.097
Density in g/cm3: 6.85
E_form (uncorrected) in meV/atom: -1387

[2]
VASP calculation (GGA-PBE) on SrTl2W after structural relaxation.

abc: 3.2620 3.2620 9.0742
angles: 90.00 90.00 90.01
Each line ends with the local moment (μB).
Positions (direct):
Sr1 0.5000 0.5000 0.7500  -0.01
Tl1 0.0000 0.0000 0.0306  0.00
Tl2 0.0000 0.0000 0.4694  0.00
W1 0.5000 0.5000 0.2500  0.35

Calculated values
Calculated volume in Å³ per atom: 24.139
Density in g/cm3: 11.70
DFT formation energy in eV/atom: 0.61
Energy above the most stable polymorph in this dataset in eV/f.u.: 0.00

[3]
VASP calculation (GGA-PBE) on RbAgIO2 after structural relaxation.

abc: 4.5015 4.5015 7.6844
angles: 90.00 90.00 90.00
Each line ends with the local moment (μB).
Positions (direct):
I1 0.0000 0.0000 0.5000  0.00
O1 0.0000 0.5000 0.0000  -0.47
O2 0.5000 0.0000 0.0000  -0.47
Rb1 0.0000 0.0000 0.0000  0.01
Ag1 0.5000 0.5000 0.5000  0.00

Calculated values
Calculated volume in Å³ per atom: 31.142
Density in g/cm3: 3.76
Energy above the most stable polymorph in this dataset in eV/f.u.: 2.98
E_form (uncorrected) in meV/atom: 608

[4]
VASP calculation (GGA-PBE) on Y3Tm12Al5 after structural relaxation.

abc: 15.3867 15.3867 15.3867
angles: 109.47 109.47 109.47
Positions (direct):
Y1 0.7500 0.3750 0.1250
Y2 0.8750 0.7500 0.1250
Y3 0.3750 0.7500 0.6250
Y4 0.2500 0.1250 0.3750
Y5 0.8750 0.1250 0.2500
Y6 0.3750 0.6250 0.2500
Y7 0.6250 0.3750 0.7500
Y8 0.1250 0.8750 0.7500
Y9 0.7500 0.8750 0.6250
Y10 0.6250 0.2500 0.3750
Y11 0.1250 0.2500 0.8750
Y12 0.2500 0.6250 0.8750
Al1 0.1250 0.3750 0.2500
Al2 0.0000 0.5000 0.0000
Al3 0.0000 0.0000 0.0000
Al4 0.3750 0.2500 0.1250
Al5 0.5000 0.0000 0.5000
Al6 0.5000 0.5000 0.0000
Al7 0.1250 0.7500 0.3750
Al8 0.7500 0.1250 0.8750
Al9 0.7500 0.6250 0.3750
Al10 0.3750 0.1250 0.7500
Al11 0.6250 0.8750 0.2500
Al12 0.5000 0.5000 0.5000
Al13 0.5000 0.0000 0.0000
Al14 0.0000 0.0000 0.5000
Al15 0.2500 0.3750 0.6250
Al16 0.2500 0.8750 0.1250
Al17 0.0000 0.5000 0.5000
Al18 0.8750 0.2500 0.6250
Al19 0.6250 0.7500 0.8750
Al20 0.8750 0.6250 0.7500
Tm1 0.7126 0.1166 0.0430
Tm2 0.3304 0.5430 0.4264
Tm3 0.9570 0.3834 0.2874
Tm4 0.5430 0.2126 0.1166
Tm5 0.5960 0.7126 0.6696
Tm6 0.9570 0.5736 0.1696
Tm7 0.3304 0.7874 0.4040
Tm8 0.0736 0.9040 0.1166
Tm9 0.5736 0.9570 0.6696
Tm10 0.7126 0.5960 0.1696
Tm11 0.7874 0.4570 0.3834
Tm12 0.8304 0.9264 0.0430
Tm13 0.1166 0.7126 0.5430
Tm14 0.3834 0.4264 0.0960
Tm15 0.0960 0.9264 0.3834
Tm16 0.4040 0.1166 0.5736
Tm17 0.0960 0.1696 0.2126
Tm18 0.4570 0.6696 0.0736
Tm19 0.8304 0.9040 0.2874
Tm20 0.1166 0.4040 0.0736
Tm21 0.3834 0.9570 0.7874
Tm22 0.5736 0.6166 0.4040
Tm23 0.9264 0.8304 0.5430
Tm24 0.7874 0.3304 0.9040
Tm25 0.4264 0.3834 0.5960
Tm26 0.0736 0.1696 0.4570
Tm27 0.2126 0.6696 0.0960
Tm28 0.1696 0.0960 0.7126
Tm29 0.6166 0.0430 0.2126
Tm30 0.8834 0.5960 0.9264
Tm31 0.5430 0.3304 0.9264
Tm32 0.5960 0.8834 0.4264
Tm33 0.9040 0.8304 0.7874
Tm34 0.9040 0.0736 0.6166
Tm35 0.8834 0.2874 0.4570
Tm36 0.1696 0.0736 0.9570
Tm37 0.6166 0.5736 0.9040
Tm38 0.4264 0.0430 0.3304
Tm39 0.2874 0.4040 0.8304
Tm40 0.2126 0.5430 0.6166
Tm41 0.9264 0.0960 0.8834
Tm42 0.6696 0.2126 0.5960
Tm43 0.4570 0.7874 0.8834
Tm44 0.0430 0.4264 0.8304
Tm45 0.4040 0.2874 0.3304
Tm46 0.0430 0.6166 0.7126
Tm47 0.6696 0.4570 0.5736
Tm48 0.2874 0.8834 0.9570

Calculated values
Calculated volume in Å³ per atom: 35.053
Density in g/cm3: 5.75
DFT formation energy in eV/atom: 0.67

[5]
VASP calculation (GGA-PBE) on BC2 after structural relaxation.

abc: 2.5591 2.5591 13.3886
angles: 90.00 90.00 120.00
Positions (direct):
B1 0.6667 0.3333 0.8189
B2 0.0000 0.0000 0.8971
B3 0.3333 0.6667 0.6522
B4 0.6667 0.3333 0.3289
C1 0.6667 0.3333 0.7046
C2 0.0000 0.0000 0.3787
C3 0.0000 0.0000 0.4923
C4 0.3333 0.6667 0.5313
C5 0.3333 0.6667 0.1707
C6 0.6667 0.3333 0.2069
C7 0.0000 0.0000 0.0154
C8 0.3333 0.6667 0.0530

Calculated values
Calculated volume in Å³ per atom: 6.328
Density in g/cm3: 3.05
DFT formation energy in eV/atom: 0.32
Energy above the most stable polymorph in this dataset in eV/f.u.: 0.23

[6]
VASP calculation (GGA-PBE) on LiAl5 after structural relaxation.

abc: 5.3447 5.3447 5.3447
angles: 60.00 60.00 60.00
Positions (direct):
Li1 0.0000 0.0000 0.0000
Al1 0.7500 0.7500 0.7500
Al2 0.8757 0.3748 0.3748
Al3 0.3748 0.8757 0.3748
Al4 0.3748 0.3748 0.8757
Al5 0.3748 0.3748 0.3748

Calculated values
Calculated volume in Å³ per atom: 17.993
Density in g/cm3: 2.18
DFT formation energy in eV/atom: 0.08
Energy above the most stable polymorph in this dataset in eV/f.u.: 0.84

[7]
VASP calculation (GGA-PBE) on LiNpCl4 after structural relaxation.

abc: 6.7488 6.7056 6.7102
angles: 90.00 103.11 90.00
Each line ends with the local moment (μB).
Positions (direct):
Li1 0.5000 0.0000 0.5000  0.00
Li2 0.0000 0.5000 0.5000  0.00
Np1 0.0000 0.0000 0.0000  3.98
Np2 0.5000 0.5000 0.0000  3.98
Cl1 0.8126 0.7436 0.2476  -0.02
Cl2 0.6874 0.2436 0.7524  -0.02
Cl3 0.3055 0.2502 0.2504  -0.02
Cl4 0.1945 0.7502 0.7496  -0.02
Cl5 0.1874 0.2564 0.7524  -0.02
Cl6 0.3126 0.7564 0.2476  -0.02
Cl7 0.6945 0.7498 0.7496  -0.02
Cl8 0.8055 0.2498 0.2504  -0.02

Calculated values
Calculated volume in Å³ per atom: 24.645
Density in g/cm3: 4.33
Energy above the most stable polymorph in this dataset in eV/f.u.: 0.15
E_form (uncorrected) in meV/atom: -1700

[8]
VASP calculation (GGA-PBE) on BeGaF after structural relaxation.

abc: 2.7036 5.6522 5.9888
angles: 89.60 90.03 75.98
Positions (direct):
Be1 0.9513 0.1267 0.3812
Be2 0.0989 0.8327 0.7945
Ga1 0.5788 0.8739 0.1265
Ga2 0.2664 0.4950 0.3230
F1 0.2143 0.5997 0.6653
F2 0.9865 0.0583 0.6335

Calculated values
Calculated volume in Å³ per atom: 14.798
Density in g/cm3: 3.66
Energy above the most stable polymorph in this dataset in eV/f.u.: 0.22
E_form (uncorrected) in meV/atom: -1232

[9]
VASP calculation (GGA-PBE) on Ho7Er3Tl2 after structural relaxation.

abc: 3.5807 5.5752 18.2799
angles: 93.59 90.00 90.00
Positions (direct):
Ho1 0.5000 0.7417 0.4587
Ho2 0.5000 0.2583 0.5413
Ho3 0.0000 0.6641 0.1472
Ho4 0.0000 0.0000 0.0000
Ho5 0.0000 0.3359 0.8528
Ho6 0.5000 0.8335 0.8286
Ho7 0.5000 0.1665 0.1714
Er1 0.5000 0.5000 0.0000
Er2 0.0000 0.2238 0.3683
Er3 0.0000 0.7762 0.6317
Tl1 0.5000 0.7028 0.2921
Tl2 0.5000 0.2972 0.7079

Calculated values
Calculated volume in Å³ per atom: 30.351
Density in g/cm3: 9.42
DFT formation energy in eV/atom: -0.01

[10]
VASP calculation (GGA-PBE) on Ba2LiTl3Hg4 after structural relaxation.

abc: 5.0718 5.0718 12.1984
angles: 90.00 90.00 90.00
Positions (direct):
Ba1 0.5000 0.0000 0.2420
Ba2 0.0000 0.5000 0.7580
Li1 0.5000 0.5000 0.5000
Tl1 0.0000 0.0000 0.5000
Tl2 0.5000 0.0000 0.8615
Tl3 0.0000 0.5000 0.1385
Hg1 0.5000 0.5000 0.0000
Hg2 0.0000 0.0000 0.0000
Hg3 0.5000 0.0000 0.6202
Hg4 0.0000 0.5000 0.3798

Calculated values
Calculated volume in Å³ per atom: 31.378
Density in g/cm3: 8.98
DFT formation energy in eV/atom: -0.30

[11]
VASP calculation (GGA-PBE) on YCrTc2 after structural relaxation.

abc: 4.1672 2.9711 5.8491
angles: 75.38 90.00 90.00
Each line ends with the local moment (μB).
Positions (direct):
Cr1 0.5000 0.7726 0.8143  1.42
Tc1 0.0000 0.9850 0.9949  -0.22
Tc2 0.5000 0.2347 0.1902  -0.04
Y1 0.0000 0.5077 0.5006  0.00

Calculated values
Calculated volume in Å³ per atom: 17.519
Density in g/cm3: 7.98
DFT formation energy in eV/atom: 0.33
Energy above the most stable polymorph in this dataset in eV/f.u.: 0.62

[12]
VASP calculation (GGA-PBE) on SiMoCl2 after structural relaxation.

abc: 3.1194 3.1194 12.1145
angles: 90.00 90.00 124.02
Each line ends with the local moment (μB).
Positions (direct):
Cl1 0.0000 0.0000 0.0897  -0.02
Cl2 0.0000 0.0000 0.4103  -0.02
Mo1 0.5000 0.5000 0.2500  -0.91
Si1 0.5000 0.5000 0.7500  0.00

Calculated values
Calculated volume in Å³ per atom: 24.426
Density in g/cm3: 3.31
Energy above the most stable polymorph in this dataset in eV/f.u.: 2.48
E_form (uncorrected) in meV/atom: 282

- Among the records above, which one has the lowest calculated volume?
  BC2